# CaSi2Ge2 | Alexandria | PBEsol | optimized geometry
# energy relative to the elements, uncorrected: -0.174 eV per atom
# energy: -4.88 eV per atom
# DOS(E_F): 1.58 states/eV/f.u.
data_CaSi2Ge2
_chemical_formula_sum 'Ca2 Si4 Ge4'
_space_group_name_H-M_alt 'I 4/m m m'
_space_group_IT_number 139
_space_group_name_Hall '-I 4 2'
_cell_length_a 4.7602
_cell_length_b 4.7602
_cell_length_c 8.5719
_cell_angle_alpha 90.00
_cell_angle_beta 90.00
_cell_angle_gamma 90.00
loop_
_atom_site_label
_atom_site_type_symbol
_atom_site_fract_x
_atom_site_fract_y
_atom_site_fract_z
_atom_site_occupancy
Ca1 Ca 0.0000 0.0000 0.0000 1
Si1 Si 0.0000 0.0000 0.3600 1
Ge1 Ge 0.0000 0.5000 0.2500 1